Record 1
! ScNbAs2 GGA-PBE relaxed; values from VASP
&SYSTEM
  ibrav = 0, nat = 4, ntyp = 3
/
ATOMIC_SPECIES
Sc 44.96 Sc.upf
Nb 92.91 Nb.upf
As 74.92 As.upf
ATOMIC_POSITIONS crystal
Sc 0.000 0.000 0.000
Nb 0.500 0.500 0.500
As 0.248 0.248 0.248
As 0.752 0.752 0.752
CELL_PARAMETERS angstrom
1.876 1.083 6.308
-1.876 1.083 6.308
0.000 -2.166 6.308
! Energy of formation = -329.4 kJ/mol of formula units
! ΔE to the lowest computed polymorph = 0.116 eV per atom
! Final energy = -7.279 eV/atom

Record 2
! La4HoEr3S8 GGA-PBE relaxed; values from VASP
&SYSTEM
  ibrav = 0, nat = 16, ntyp = 4
/
ATOMIC_SPECIES
La 138.91 La.upf
Ho 164.93 Ho.upf
Er 167.26 Er.upf
S 32.06 S.upf
ATOMIC_POSITIONS crystal
La 0.000 0.000 0.000
La 0.000 0.500 0.500
La 0.500 0.000 0.500
La 0.500 0.500 0.000
Ho 0.500 0.500 0.500
Er 0.000 0.000 0.500
Er 0.000 0.500 0.000
Er 0.500 0.000 0.000
S 0.241 0.742 0.742
S 0.242 0.242 0.242
S 0.258 0.258 0.759
S 0.258 0.759 0.258
S 0.742 0.241 0.742
S 0.742 0.742 0.241
S 0.758 0.758 0.758
S 0.759 0.258 0.258
CELL_PARAMETERS angstrom
3.968 2.291 6.700
-3.968 2.291 6.700
0.000 -4.582 6.700
! Final energy = -6.508 eV/atom

Record 3
! BaSmZn2 GGA-PBE relaxed; values from VASP
&SYSTEM
  ibrav = 0, nat = 4, ntyp = 3
/
ATOMIC_SPECIES
Ba 137.33 Ba.upf
Sm 150.36 Sm.upf
Zn 65.41 Zn.upf
ATOMIC_POSITIONS crystal
Ba 0.000 0.000 0.000
Sm 0.500 0.500 0.500
Zn 0.240 0.240 0.240
Zn 0.760 0.760 0.760
CELL_PARAMETERS angstrom
2.013 1.162 9.111
-2.013 1.162 9.111
0.000 -2.324 9.111
! Energy of formation = 6.8 kJ/mol of formula units
! ΔE to the lowest computed polymorph = 0.234 eV per atom
! Final energy = -2.280 eV/atom

Record 4
! Re2MoCl GGA-PBE relaxed; values from VASP
&SYSTEM
  ibrav = 0, nat = 4, ntyp = 3
/
ATOMIC_SPECIES
Re 186.21 Re.upf
Mo 95.94 Mo.upf
Cl 35.45 Cl.upf
ATOMIC_POSITIONS crystal
Re 0.000 0.500 0.000
Re 0.500 0.000 0.000
Mo 0.000 0.000 0.500
Cl 0.500 0.500 0.500
CELL_PARAMETERS angstrom
3.573 0.000 0.000
0.000 3.573 0.000
0.000 0.000 5.169
! ΔE to the lowest computed polymorph = 1.067 eV per atom
! Final energy = -8.084 eV/atom

Record 5
! CeCdIn GGA-PBE relaxed; values from VASP
&SYSTEM
  ibrav = 0, nat = 3, ntyp = 3
/
ATOMIC_SPECIES
Ce 140.12 Ce.upf
Cd 112.41 Cd.upf
In 114.82 In.upf
ATOMIC_POSITIONS crystal
Ce 0.000 0.000 0.000
Cd 0.750 0.750 0.750
In 0.500 0.500 0.500
CELL_PARAMETERS angstrom
0.000 3.532 3.532
3.532 0.000 3.532
3.532 3.532 0.000
! Energy of formation = -51.8 kJ/mol of formula units
! Final energy = -3.375 eV/atom

Record 6
! Y3W4 GGA-PBE relaxed; values from VASP
&SYSTEM
  ibrav = 0, nat = 7, ntyp = 2
/
ATOMIC_SPECIES
Y 88.91 Y.upf
W 183.84 W.upf
ATOMIC_POSITIONS crystal
Y 0.000 0.500 0.000
Y 0.500 0.000 0.000
Y 0.500 0.500 0.000
W 0.000 0.000 0.242
W 0.000 0.000 0.758
W 0.333 0.667 0.500
W 0.667 0.333 0.500
CELL_PARAMETERS angstrom
5.868 0.000 0.000
-2.934 5.082 0.000
0.000 0.000 5.010
! Energy of formation = 828.7 kJ/mol of formula units
! Final energy = -8.945 eV/atom

Record 7
! CsAsOs3 GGA-PBE relaxed; values from VASP
&SYSTEM
  ibrav = 0, nat = 5, ntyp = 3
/
ATOMIC_SPECIES
Cs 132.91 Cs.upf
As 74.92 As.upf
Os 190.23 Os.upf
ATOMIC_POSITIONS crystal
Cs 0.000 0.000 0.000
As 0.500 0.500 0.500
Os 0.000 0.500 0.500
Os 0.500 0.000 0.500
Os 0.500 0.500 0.000
CELL_PARAMETERS angstrom
4.764 0.000 0.000
0.000 4.764 0.000
0.000 0.000 4.764
! Energy of formation = 953.7 kJ/mol of formula units
! ΔE to the lowest computed polymorph = 0.000 eV per atom
! Final energy = -5.862 eV/atom

Record 8
! GeHF2 GGA-PBE relaxed; values from VASP
&SYSTEM
  ibrav = 0, nat = 4, ntyp = 3
/
ATOMIC_SPECIES
Ge 72.64 Ge.upf
H 1.01 H.upf
F 19.00 F.upf
ATOMIC_POSITIONS crystal
Ge 0.000 0.000 0.000
H 0.500 0.500 0.500
F 0.250 0.250 0.250
F 0.750 0.750 0.750
CELL_PARAMETERS angstrom
0.000 2.811 2.811
2.811 0.000 2.811
2.811 2.811 0.000
! ΔE to the lowest computed polymorph = 0.490 eV per atom
! Final energy = -3.753 eV/atom

Among the records above, which one has the lowest final energy?
Y3W4

Among the records above, which one has the lowest final energy?
Y3W4